Here is La2ZnCd at its PBEsol-relaxed geometry from Alexandria. Energies are from SCAN.

abc: 7.5588 7.5588 7.5588
angles: 90.00 90.00 90.00
Element x y z (fractional)
La1 0.2500 0.2500 0.2500
La2 0.2500 0.2500 0.7500
La3 0.2500 0.7500 0.2500
La4 0.2500 0.7500 0.7500
La5 0.7500 0.2500 0.2500
La6 0.7500 0.2500 0.7500
La7 0.7500 0.7500 0.2500
La8 0.7500 0.7500 0.7500
Zn1 0.0000 0.0000 0.0000
Zn2 0.0000 0.5000 0.5000
Zn3 0.5000 0.0000 0.5000
Zn4 0.5000 0.5000 0.0000
Cd1 0.0000 0.0000 0.5000
Cd2 0.0000 0.5000 0.0000
Cd3 0.5000 0.0000 0.0000
Cd4 0.5000 0.5000 0.5000

Output
* energy of formation: -0.38 eV per atom
* polymorph energy (0 for the lowest one): 26.6 meV per atom
* calculated total energy: -32.916 eV per atom
* DOS at the Fermi energy: 17.026 states/eV/cell